No. 1
The following is a PBE calculation of a relaxed structure of NdGaGe, from OQMD.

Values from the calculation:
Uncorrected energy ... -4.85 eV/atom
Total magnetization ... 0.0 μB per cell

a = 4.2345 Å, b = 4.2345 Å, c = 4.3953 Å
α = 90.00°, β = 90.00°, γ = 120.00°
Closest atoms and distances in Å follow each position.
Fractional coordinates of all 3 atoms:
Nd 0.0000 0.0000 0.0000  3 Ga 3.05, 3 Ge 3.09
Ga 0.3333 0.6667 0.5834  3 Ge 2.53
Ge 0.6667 0.3333 0.4315  3 Ga 2.53

***

No. 2
The following is a PBE calculation of a relaxed structure of Nd2Ga3Ge, from OQMD.

Values from the calculation:
Uncorrected energy ... -4.59 eV/atom
Total magnetization ... 0.0 μB per cell

a = 8.5123 Å, b = 8.5033 Å, c = 6.0316 Å
α = 69.32°, β = 69.16°, γ = 41.52°
Closest atoms and distances in Å follow each position.
Fractional coordinates of all 12 atoms:
Nd 0.2461 0.7539 0.2461  2 Ge 3.24, 10 Ga 3.25-3.26
Nd 0.2500 0.2500 0.2500  4 Ge 3.25, 8 Ga 3.26
Nd 0.7500 0.7500 0.7500  4 Ge 3.25, 8 Ga 3.26
Nd 0.7539 0.2461 0.7539  2 Ge 3.24, 10 Ga 3.25-3.26
Ga 0.1691 0.6646 0.8309  2 Ga 2.43-2.45, 1 Ge 2.48
Ga 0.3346 0.3346 0.6654  2 Ga 2.43, 1 Ge 2.46
Ga 0.3354 0.8309 0.6646  2 Ga 2.43-2.45, 1 Ge 2.48
Ga 0.6646 0.1691 0.3354  2 Ga 2.43-2.45, 1 Ge 2.48
Ga 0.6654 0.6654 0.3346  2 Ga 2.43, 1 Ge 2.46
Ga 0.8309 0.3354 0.1691  2 Ga 2.43-2.45, 1 Ge 2.48
Ge 0.1673 0.1673 0.8327  3 Ga 2.46-2.48
Ge 0.8327 0.8327 0.1673  3 Ga 2.46-2.48

***

No. 3
The following is a PBE calculation of a relaxed structure of Nd4Ga3Ge, from OQMD.

Values from the calculation:
Uncorrected energy ... -4.77 eV/atom
Total magnetization ... 0.7 μB per cell

a = 4.1244 Å, b = 4.4851 Å, c = 11.3202 Å
α = 90.00°, β = 90.00°, γ = 90.00°
Closest atoms and distances in Å follow each position.
Fractional coordinates of all 8 atoms:
Nd 0.0000 0.0000 0.0000  4 Ge 3.13, 3 Ga 3.24-3.28
Nd 0.0000 0.5000 0.4985  7 Ga 3.15-3.31
Nd 0.5000 0.0000 0.2798  5 Ga 3.14-3.26, 2 Ge 3.31
Nd 0.5000 0.5000 0.7807  6 Ga 3.14-3.29, 1 Ge 3.22
Ga 0.0000 0.0000 0.7136  2 Ga 2.64
Ga 0.0000 0.5000 0.2119  2 Ge 2.65
Ga 0.5000 0.0000 0.5678  2 Ga 2.64
Ge 0.5000 0.5000 0.0647  2 Ga 2.65

***

Question: total magnetization of number 3 (Nd4Ga3Ge)?
Answer: 0.7 μB per cell

***

Question: The highest total magnetization belongs to which entry?
Answer: Nd4Ga3Ge

***

Copy entry 3 word for word.
The following is a PBE calculation of a relaxed structure of Nd4Ga3Ge, from OQMD.

Values from the calculation:
Uncorrected energy ... -4.77 eV/atom
Total magnetization ... 0.7 μB per cell

a = 4.1244 Å, b = 4.4851 Å, c = 11.3202 Å
α = 90.00°, β = 90.00°, γ = 90.00°
Closest atoms and distances in Å follow each position.
Fractional coordinates of all 8 atoms:
Nd 0.0000 0.0000 0.0000  4 Ge 3.13, 3 Ga 3.24-3.28
Nd 0.0000 0.5000 0.4985  7 Ga 3.15-3.31
Nd 0.5000 0.0000 0.2798  5 Ga 3.14-3.26, 2 Ge 3.31
Nd 0.5000 0.5000 0.7807  6 Ga 3.14-3.29, 1 Ge 3.22
Ga 0.0000 0.0000 0.7136  2 Ga 2.64
Ga 0.0000 0.5000 0.2119  2 Ge 2.65
Ga 0.5000 0.0000 0.5678  2 Ga 2.64
Ge 0.5000 0.5000 0.0647  2 Ga 2.65